Entry 1:
{
  "formula": "TbEr3O6",
  "functional": "GGA-PBE",
  "state": "relaxed",
  "lattice_angstrom": [[6.688, -0.010, -0.155], [-0.158, 6.686, -0.155], [-0.010, -0.010, 6.690]],
  "species": ["Tb", "Tb", "Er", "Er", "Er", "Er", "Er", "Er", "O", "O", "O", "O", "O", "O", "O", "O", "O", "O", "O", "O"],
  "fractional_positions": [[0.000, 0.000, 0.000], [0.500, 0.500, 0.500], [0.445, 0.937, 0.749], [0.937, 0.749, 0.445], [0.251, 0.555, 0.063], [0.749, 0.445, 0.937], [0.063, 0.251, 0.555], [0.555, 0.063, 0.251], [0.318, 0.902, 0.073], [0.098, 0.927, 0.682], [0.604, 0.821, 0.472], [0.927, 0.682, 0.098], [0.472, 0.604, 0.821], [0.179, 0.528, 0.396], [0.821, 0.472, 0.604], [0.528, 0.396, 0.179], [0.073, 0.318, 0.902], [0.396, 0.179, 0.528], [0.902, 0.073, 0.318], [0.682, 0.098, 0.927]],
  "raw_formation_energy_mev_per_atom": -3579,
  "magmom_total_mub_per_cell": 0.00,
  "total_energy_ev_per_cell": -167.7
}

Entry 2:
{
  "formula": "Pa3ZnNi4",
  "functional": "GGA-PBE",
  "state": "relaxed",
  "lattice_angstrom": [[-0.883, 1.439, -3.052], [-5.749, 0.334, 1.822], [4.533, 5.531, 3.289]],
  "species": ["Pa", "Pa", "Pa", "Zn", "Ni", "Ni", "Ni", "Ni"],
  "fractional_positions": [[0.000, 0.500, 0.000], [0.198, 0.198, 0.396], [0.802, 0.802, 0.604], [0.500, 0.000, 0.000], [0.374, 0.579, 0.748], [0.626, 0.421, 0.252], [0.626, 0.831, 0.252], [0.374, 0.169, 0.748]],
  "magmom_total_mub_per_cell": 0.00,
  "polymorph_energy_mev_per_atom": 72,
  "total_energy_ev_per_cell": -54.6,
  "e_form_ev_per_atom": -0.21
}

Entry 3:
{
  "formula": "UMoP",
  "functional": "GGA-PBE",
  "state": "relaxed",
  "lattice_angstrom": [[3.523, 0.000, 0.000], [0.000, 7.712, 0.000], [0.000, 0.000, 7.415]],
  "species": ["U", "U", "U", "U", "Mo", "Mo", "Mo", "Mo", "P", "P", "P", "P"],
  "fractional_positions": [[0.250, 0.376, 0.515], [0.750, 0.624, 0.485], [0.250, 0.124, 0.015], [0.750, 0.876, 0.985], [0.250, 0.570, 0.129], [0.750, 0.430, 0.871], [0.250, 0.930, 0.629], [0.750, 0.070, 0.371], [0.250, 0.645, 0.792], [0.750, 0.355, 0.208], [0.250, 0.855, 0.292], [0.750, 0.145, 0.708]],
  "magmom_total_mub_per_cell": 3.29,
  "total_energy_ev_per_cell": -118.0,
  "e_form_ev_per_atom": -0.65
}

Entry 4:
{
  "formula": "Y2PtBr",
  "functional": "GGA-PBE",
  "state": "relaxed",
  "lattice_angstrom": [[-1.903, -0.644, 3.567], [-1.114, -3.791, 1.070], [5.828, -2.509, 5.004]],
  "species": ["Y", "Y", "Pt", "Br"],
  "fractional_positions": [[0.065, 0.065, 0.804], [0.270, 0.270, 0.189], [0.668, 0.668, 0.997], [0.497, 0.497, 0.510]],
  "raw_formation_energy_mev_per_atom": -1213,
  "magmom_total_mub_per_cell": 0.00,
  "polymorph_energy_mev_per_atom": 33,
  "total_energy_ev_per_cell": -25.5
}

Entry 5:
{
  "formula": "Be3BiMo",
  "functional": "GGA-PBE",
  "state": "relaxed",
  "lattice_angstrom": [[4.419, 0.000, 0.000], [0.000, 4.419, 0.000], [0.000, 0.000, 4.419]],
  "species": ["Be", "Be", "Be", "Mo", "Bi"],
  "fractional_positions": [[0.000, 0.500, 0.000], [0.000, 0.000, 0.500], [0.500, 0.000, 0.000], [0.000, 0.000, 0.000], [0.500, 0.500, 0.500]],
  "magmom_total_mub_per_cell": 0.00,
  "polymorph_energy_mev_per_atom": 0,
  "total_energy_ev_per_cell": -20.7,
  "e_form_ev_per_atom": 1.04
}

Entry 6:
{
  "formula": "Na2ZrI2O2",
  "functional": "GGA-PBE",
  "state": "relaxed",
  "lattice_angstrom": [[4.202, 0.000, 0.000], [0.000, 4.202, 0.000], [-2.101, -2.101, 9.781]],
  "species": ["Na", "Na", "Zr", "I", "I", "O", "O"],
  "fractional_positions": [[0.415, 0.415, 0.830], [0.585, 0.585, 0.170], [0.000, 0.000, 0.000], [0.153, 0.153, 0.306], [0.847, 0.847, 0.694], [0.000, 0.500, 0.000], [0.500, 0.000, 0.000]],
  "raw_formation_energy_mev_per_atom": -1946,
  "magmom_total_mub_per_cell": 0.00,
  "total_energy_ev_per_cell": -37.8
}

Entry 7:
{
  "formula": "MnAlAg2",
  "functional": "GGA-PBE",
  "state": "relaxed",
  "lattice_angstrom": [[-1.215, 2.521, 0.565], [-2.260, -1.340, 1.117], [3.442, 0.077, 7.056]],
  "species": ["Mn", "Al", "Ag", "Ag"],
  "fractional_positions": [[0.500, 0.500, 0.730], [0.000, 0.000, 0.520], [0.000, 0.000, 0.984], [0.500, 0.500, 0.266]],
  "magmom_total_mub_per_cell": 3.10,
  "total_energy_ev_per_cell": -18.6,
  "e_form_ev_per_atom": 0.01
}

Entry 8:
{
  "formula": "ZrAsRh2",
  "functional": "GGA-PBE",
  "state": "relaxed",
  "lattice_angstrom": [[-4.015, 0.405, -0.310], [-0.479, -2.159, 3.390], [-1.874, 6.405, 6.229]],
  "species": ["As", "As", "Rh", "Rh", "Rh", "Rh", "Zr", "Zr"],
  "fractional_positions": [[0.500, 0.500, 0.000], [0.250, 0.750, 0.500], [0.603, 0.125, 0.250], [0.147, 0.625, 0.250], [0.375, 0.397, 0.750], [0.875, 0.853, 0.750], [0.000, 0.000, 0.000], [0.750, 0.250, 0.500]],
  "magmom_total_mub_per_cell": 0.00,
  "total_energy_ev_per_cell": -59.3,
  "e_form_ev_per_atom": -0.43
}

Entry 9:
{
  "formula": "SrZn3N",
  "functional": "GGA-PBE",
  "state": "relaxed",
  "lattice_angstrom": [[6.558, 0.000, 0.000], [0.000, 6.558, 0.000], [0.000, 0.000, 6.558]],
  "species": ["Sr", "Zn", "Zn", "Zn", "N"],
  "fractional_positions": [[0.000, 0.000, 0.000], [0.000, 0.500, 0.000], [0.000, 0.000, 0.500], [0.500, 0.000, 0.000], [0.500, 0.500, 0.500]],
  "raw_formation_energy_mev_per_atom": 1623,
  "magmom_total_mub_per_cell": 2.39,
  "polymorph_energy_mev_per_atom": 1162,
  "total_energy_ev_per_cell": -5.7
}

Entry 10:
{
  "formula": "Nd2Si7Au12",
  "functional": "GGA-PBE",
  "state": "relaxed",
  "lattice_angstrom": [[4.424, 0.000, 0.000], [0.000, 8.762, -5.059], [0.000, 0.000, 10.118]],
  "species": ["Nd", "Nd", "Si", "Si", "Si", "Si", "Si", "Si", "Si", "Au", "Au", "Au", "Au", "Au", "Au", "Au", "Au", "Au", "Au", "Au", "Au"],
  "fractional_positions": [[0.241, 0.333, 0.667], [0.759, 0.667, 0.333], [0.500, 0.000, 0.000], [0.280, 0.887, 0.284], [0.280, 0.397, 0.113], [0.280, 0.716, 0.603], [0.720, 0.113, 0.716], [0.720, 0.603, 0.887], [0.720, 0.284, 0.397], [0.246, 0.614, 0.069], [0.246, 0.455, 0.386], [0.246, 0.931, 0.545], [0.754, 0.386, 0.931], [0.754, 0.545, 0.614], [0.754, 0.069, 0.455], [0.214, 0.124, 0.264], [0.214, 0.140, 0.876], [0.214, 0.736, 0.860], [0.786, 0.876, 0.736], [0.786, 0.860, 0.124], [0.786, 0.264, 0.140]],
  "raw_formation_energy_mev_per_atom": -257,
  "magmom_total_mub_per_cell": 0.00,
  "total_energy_ev_per_cell": -92.2
}

Entry 11:
{
  "formula": "Ac2TiBeO6",
  "functional": "GGA-PBE",
  "state": "relaxed",
  "lattice_angstrom": [[5.528, 0.000, 0.000], [2.764, 4.787, 0.000], [2.764, 1.596, 9.076]],
  "species": ["Ac", "Ac", "Ac", "Ac", "Ti", "Ti", "Be", "Be", "O", "O", "O", "O", "O", "O", "O", "O", "O", "O", "O", "O"],
  "fractional_positions": [[0.870, 0.870, 0.391], [0.130, 0.130, 0.609], [0.712, 0.712, 0.863], [0.288, 0.288, 0.137], [0.589, 0.589, 0.232], [0.411, 0.411, 0.768], [0.000, 0.000, 0.000], [0.500, 0.500, 0.500], [0.860, 0.382, 0.376], [0.382, 0.860, 0.376], [0.382, 0.382, 0.376], [0.140, 0.618, 0.624], [0.618, 0.140, 0.624], [0.618, 0.618, 0.624], [0.714, 0.203, 0.880], [0.203, 0.714, 0.880], [0.203, 0.203, 0.880], [0.286, 0.797, 0.120], [0.797, 0.286, 0.120], [0.797, 0.797, 0.120]],
  "raw_formation_energy_mev_per_atom": -3080,
  "magmom_total_mub_per_cell": 0.00,
  "total_energy_ev_per_cell": -160.8
}

Entry 12:
{
  "formula": "CrNi2Pt",
  "functional": "GGA-PBE",
  "state": "relaxed",
  "lattice_angstrom": [[4.501, -0.051, -0.002], [1.518, 4.238, 0.002], [-3.009, -2.094, 2.612]],
  "species": ["Cr", "Ni", "Ni", "Pt"],
  "fractional_positions": [[0.250, 0.750, 0.500], [0.000, 0.000, 0.000], [0.500, 0.500, 0.000], [0.750, 0.250, 0.500]],
  "magmom_total_mub_per_cell": 1.79,
  "total_energy_ev_per_cell": -27.7,
  "e_form_ev_per_atom": -0.12
}

Entry 13:
{
  "formula": "Na3Ga2Ge4",
  "functional": "GGA-PBE",
  "state": "relaxed",
  "lattice_angstrom": [[0.096, 2.676, -3.273], [-4.433, 3.902, 0.328], [1.480, 8.747, 4.464]],
  "species": ["Na", "Na", "Na", "Ga", "Ga", "Ge", "Ge", "Ge", "Ge"],
  "fractional_positions": [[0.404, 0.482, 0.711], [0.000, 0.000, 0.000], [0.596, 0.518, 0.289], [0.306, 0.048, 0.340], [0.694, 0.952, 0.660], [0.302, 0.350, 0.047], [0.698, 0.650, 0.953], [0.107, 0.242, 0.545], [0.893, 0.758, 0.455]],
  "magmom_total_mub_per_cell": 0.00,
  "polymorph_energy_mev_per_atom": 0,
  "total_energy_ev_per_cell": -29.6,
  "e_form_ev_per_atom": -0.13
}

Entry 14:
{
  "formula": "TlSi2Au",
  "functional": "GGA-PBE",
  "state": "relaxed",
  "lattice_angstrom": [[-2.346, -3.831, -2.182], [-1.752, -0.923, 3.503], [-3.090, 2.411, -0.910]],
  "species": ["Au", "Si", "Si", "Tl"],
  "fractional_positions": [[0.500, 0.000, 0.500], [0.000, 0.000, 0.000], [0.000, 0.500, 0.500], [0.500, 0.500, 0.000]],
  "raw_formation_energy_mev_per_atom": 541,
  "magmom_total_mub_per_cell": 0.00,
  "polymorph_energy_mev_per_atom": 371,
  "total_energy_ev_per_cell": -14.3
}

Entry 15:
{
  "formula": "Tb6Ni2Bi",
  "functional": "GGA-PBE",
  "state": "relaxed",
  "lattice_angstrom": [[-7.511, -2.648, 3.102], [0.446, -0.076, -8.535], [6.099, -5.328, 2.734]],
  "species": ["Tb", "Tb", "Tb", "Tb", "Tb", "Tb", "Tb", "Tb", "Tb", "Tb", "Tb", "Tb", "Ni", "Ni", "Ni", "Ni", "Bi", "Bi"],
  "fractional_positions": [[0.522, 0.703, 0.819], [0.478, 0.297, 0.181], [0.116, 0.297, 0.819], [0.884, 0.703, 0.181], [0.790, 0.772, 0.563], [0.210, 0.228, 0.437], [0.210, 0.772, 0.982], [0.790, 0.228, 0.018], [0.688, 0.363, 0.675], [0.312, 0.637, 0.325], [0.312, 0.986, 0.675], [0.688, 0.014, 0.325], [0.500, 0.376, 0.876], [0.500, 0.624, 0.124], [0.643, 0.000, 0.643], [0.357, 0.000, 0.357], [0.000, 0.500, 0.500], [0.000, 0.000, 0.000]],
  "magmom_total_mub_per_cell": 0.00,
  "total_energy_ev_per_cell": -93.1,
  "e_form_ev_per_atom": -0.37
}

Entry 16:
{
  "formula": "Tb2HoNi9",
  "functional": "GGA-PBE",
  "state": "relaxed",
  "lattice_angstrom": [[4.960, 0.000, 0.000], [2.480, 4.295, 0.000], [2.480, 1.432, 8.133]],
  "species": ["Tb", "Tb", "Ho", "Ni", "Ni", "Ni", "Ni", "Ni", "Ni", "Ni", "Ni", "Ni"],
  "fractional_positions": [[0.861, 0.861, 0.416], [0.139, 0.139, 0.584], [0.000, 0.000, 0.000], [0.667, 0.667, 0.999], [0.333, 0.333, 0.001], [0.500, 0.500, 0.500], [0.418, 0.418, 0.245], [0.919, 0.418, 0.245], [0.418, 0.919, 0.245], [0.582, 0.582, 0.755], [0.582, 0.081, 0.755], [0.081, 0.582, 0.755]],
  "magmom_total_mub_per_cell": 1.06,
  "total_energy_ev_per_cell": -70.8,
  "e_form_ev_per_atom": -0.41
}

Entry 17:
{
  "formula": "LiLaPd3",
  "functional": "GGA-PBE",
  "state": "relaxed",
  "lattice_angstrom": [[5.242, 0.000, 0.000], [0.000, 5.242, 0.000], [0.000, 0.000, 5.242]],
  "species": ["Li", "Pd", "Pd", "Pd", "La"],
  "fractional_positions": [[0.500, 0.500, 0.500], [0.000, 0.500, 0.000], [0.000, 0.000, 0.500], [0.500, 0.000, 0.000], [0.000, 0.000, 0.000]],
  "magmom_total_mub_per_cell": 0.00,
  "polymorph_energy_mev_per_atom": 998,
  "total_energy_ev_per_cell": -20.5,
  "e_form_ev_per_atom": 0.38
}

Entry 18:
{
  "formula": "ZrCrGe2Sb",
  "functional": "GGA-PBE",
  "state": "relaxed",
  "lattice_angstrom": [[5.225, 0.000, 0.000], [0.000, 4.814, 0.000], [0.000, 0.000, 5.225]],
  "species": ["Sb", "Ge", "Ge", "Zr", "Cr"],
  "fractional_positions": [[0.000, 0.000, 0.000], [0.000, 0.000, 0.500], [0.500, 0.000, 0.000], [0.500, 0.500, 0.500], [0.000, 0.500, 0.000]],
  "raw_formation_energy_mev_per_atom": 1123,
  "magmom_total_mub_per_cell": 2.49,
  "total_energy_ev_per_cell": -25.9
}

Entry 19:
{
  "formula": "NaSmHoTl",
  "functional": "GGA-PBE",
  "state": "relaxed",
  "lattice_angstrom": [[5.443, 0.000, 0.000], [2.721, 4.714, 0.000], [2.721, 1.571, 4.444]],
  "species": ["Na", "Tl", "Ho", "Sm"],
  "fractional_positions": [[0.500, 0.500, 0.500], [0.000, 0.000, 0.000], [0.250, 0.250, 0.250], [0.750, 0.750, 0.750]],
  "magmom_total_mub_per_cell": 0.00,
  "total_energy_ev_per_cell": -13.2,
  "e_form_ev_per_atom": -0.06
}

Entry 20:
{
  "formula": "YPd2Ru",
  "functional": "GGA-PBE",
  "state": "relaxed",
  "lattice_angstrom": [[-3.969, -0.404, 0.242], [-0.162, -0.757, -3.921], [-1.014, -9.855, -0.094]],
  "species": ["Y", "Y", "Ru", "Ru", "Pd", "Pd", "Pd", "Pd"],
  "fractional_positions": [[0.500, 0.500, 0.000], [0.250, 0.750, 0.500], [0.000, 0.000, 0.000], [0.750, 0.250, 0.500], [0.646, 0.125, 0.250], [0.104, 0.625, 0.250], [0.375, 0.354, 0.750], [0.875, 0.896, 0.750]],
  "magmom_total_mub_per_cell": 0.00,
  "polymorph_energy_mev_per_atom": 204,
  "total_energy_ev_per_cell": -52.2,
  "e_form_ev_per_atom": 0.00
}

Entry 21:
{
  "formula": "AlPtSe",
  "functional": "GGA-PBE",
  "state": "relaxed",
  "lattice_angstrom": [[4.332, 0.000, 0.000], [2.166, 3.752, 0.000], [2.166, 1.251, 3.537]],
  "species": ["Se", "Pt", "Al"],
  "fractional_positions": [[0.000, 0.000, 0.000], [0.750, 0.750, 0.750], [0.500, 0.500, 0.500]],
  "raw_formation_energy_mev_per_atom": -434,
  "magmom_total_mub_per_cell": 0.00,
  "polymorph_energy_mev_per_atom": 183,
  "total_energy_ev_per_cell": -14.6
}

Entry 22:
{
  "formula": "Tb8PmHo2",
  "functional": "GGA-PBE",
  "state": "relaxed",
  "lattice_angstrom": [[5.516, -0.560, -0.391], [0.669, 9.808, 2.615], [0.669, 5.831, 8.309]],
  "species": ["Tb", "Tb", "Tb", "Tb", "Tb", "Tb", "Tb", "Tb", "Pm", "Ho", "Ho"],
  "fractional_positions": [[0.268, 0.133, 0.600], [0.268, 0.600, 0.133], [0.732, 0.867, 0.400], [0.237, 0.546, 0.546], [0.732, 0.400, 0.867], [0.232, 0.188, 0.188], [0.768, 0.812, 0.812], [0.763, 0.454, 0.454], [0.000, 0.000, 0.000], [0.748, 0.284, 0.284], [0.252, 0.716, 0.716]],
  "magmom_total_mub_per_cell": 0.00,
  "polymorph_energy_mev_per_atom": 39,
  "total_energy_ev_per_cell": -49.3,
  "e_form_ev_per_atom": 0.15
}

Entry 23:
{
  "formula": "NpU5P6",
  "functional": "GGA-PBE",
  "state": "relaxed",
  "lattice_angstrom": [[-4.716, 3.912, -3.006], [-4.636, 1.913, 4.613], [0.886, 5.762, 3.534]],
  "species": ["Np", "P", "P", "P", "P", "P", "P", "U", "U", "U", "U", "U"],
  "fractional_positions": [[0.000, 0.000, 0.000], [0.750, 0.083, 0.334], [0.250, 0.583, 0.334], [0.250, 0.250, 0.000], [0.750, 0.750, 0.000], [0.750, 0.417, 0.666], [0.250, 0.917, 0.666], [0.500, 0.166, 0.667], [0.000, 0.333, 0.333], [0.500, 0.500, 0.000], [0.000, 0.667, 0.667], [0.500, 0.834, 0.333]],
  "magmom_total_mub_per_cell": 13.97,
  "total_energy_ev_per_cell": -113.2,
  "e_form_ev_per_atom": -0.95
}